Run A
The following is a PBE-GGA calculation of a geometry-optimized Mn2V2Ge structure, from Alexandria.

Lattice parameters (Å, degrees): 7.015 4.051 4.771 90.00 90.11 90.00
Space group C2/m (No. 12)
Asymmetric unit:
Mn1 0.167 0.000 0.178 x4
V1 0.167 0.000 0.652 x4
Ge1 0.000 0.500 0.000 x2

## Properties
The density of states at the Fermi level is 4.3 states/eV/f.u. The size of the total moment is 0.05 μB/atom.

***

Run B
The following is a PBE-GGA calculation of a geometry-optimized Mn2V2Ge structure, from Alexandria.

Lattice parameters (Å, degrees): 8.223 4.052 4.801 90.00 125.01 90.00
Space group C2/m (No. 12)
Asymmetric unit:
Mn1 0.002 0.000 0.219 x4
V1 0.210 0.500 0.211 x4
Ge1 0.000 0.500 0.500 x2

## Properties
The density of states at the Fermi level is 4.6 states/eV/f.u. The size of the total moment is 0.00 μB/atom.

***

Stability, lowest: run A

***

Run A
The following is a PBE-GGA calculation of a geometry-optimized MnZn3Ge structure, from Alexandria.

Lattice parameters (Å, degrees): 4.789 4.789 4.789 90.00 90.00 90.00
Space group Pm-3m (No. 221)
Asymmetric unit:
Mn1 0.000 0.000 0.000 x1
Zn1 0.000 0.500 0.500 x3
Ge1 0.500 0.500 0.500 x1

## Properties
The density of states at the Fermi level is 2.2 states/eV/f.u. The size of the total moment is 0.86 μB/atom.

***

Run B
The following is a PBE-GGA calculation of a geometry-optimized MnZn3Ge structure, from Alexandria.

Lattice parameters (Å, degrees): 4.711 4.711 4.711 90.00 90.00 90.00
Space group Pm-3m (No. 221)
Asymmetric unit:
Mn1 0.000 0.000 0.000 x1
Zn1 0.000 0.000 0.500 x3
Ge1 0.500 0.500 0.500 x1

## Properties
The density of states at the Fermi level is 2.5 states/eV/f.u. The size of the total moment is 0.54 μB/atom.

***

Stability, lowest: run A

***

Run A
The following is a PBE-GGA calculation of a geometry-optimized MnZnGe3 structure, from Alexandria.

Lattice parameters (Å, degrees): 4.632 4.632 4.632 90.00 90.00 90.00
Space group Pm-3m (No. 221)
Asymmetric unit:
Mn1 0.000 0.000 0.000 x1
Zn1 0.500 0.500 0.500 x1
Ge1 0.000 0.000 0.500 x3

## Properties
The density of states at the Fermi level is 3.2 states/eV/f.u. The size of the total moment is 0.19 μB/atom.

***

Run B
The following is a PBE-GGA calculation of a geometry-optimized MnZnGe3 structure, from Alexandria.

Lattice parameters (Å, degrees): 4.797 4.797 4.797 90.00 90.00 90.00
Space group Pm-3m (No. 221)
Asymmetric unit:
Mn1 0.000 0.000 0.000 x1
Zn1 0.500 0.500 0.500 x1
Ge1 0.000 0.500 0.500 x3

## Properties
The density of states at the Fermi level is 3.0 states/eV/f.u. The size of the total moment is 0.87 μB/atom.

***

Stability, lowest: run B

***

Run A
The following is a PBE-GGA calculation of a geometry-optimized GeMo2N structure, from Alexandria.

Lattice parameters (Å, degrees): 3.0303 3.0303 19.7869 90.00 90.00 120.00
Space group R3m (No. 160, hexagonal axes)
Asymmetric unit:
Ge1 0.0000 0.0000 0.0000 x3
Mo1 0.0000 0.0000 0.5625 x3
Mo2 0.0000 0.0000 0.7677 x3
N1 0.0000 0.0000 0.1656 x3

## Properties
The density of states at the Fermi level is 3.3 states/eV/f.u. The size of the total moment is 0.00 μB/atom.

***

Run B
The following is a PBE-GGA calculation of a geometry-optimized GeMo2N structure, from Alexandria.

Lattice parameters (Å, degrees): 5.059 5.059 10.567 90.00 90.00 90.00
Space group I-42d (No. 122)
Asymmetric unit:
Ge1 0.000 0.000 0.000 x4
Mo1 0.151 0.250 0.625 x8
N1 0.000 0.000 0.500 x4

## Properties
The density of states at the Fermi level is 4.7 states/eV/f.u. The size of the total moment is 0.00 μB/atom.

***

Run C
The following is a PBE-GGA calculation of a geometry-optimized GeMo2N structure, from Alexandria.

Lattice parameters (Å, degrees): 5.943 5.943 5.943 90.00 90.00 90.00
Space group Fm-3m (No. 225)
Asymmetric unit:
Ge1 0.000 0.000 0.000 x4
Mo1 0.250 0.250 0.250 x8
N1 0.000 0.000 0.500 x4

## Properties
The density of states at the Fermi level is 4.3 states/eV/f.u. The size of the total moment is 0.17 μB/atom.

***

Stability, lowest: run C

***

Run A
The following is a PBE-GGA calculation of a geometry-optimized Ge3MoN structure, from Alexandria.

Lattice parameters (Å, degrees): 4.884 4.884 4.884 90.00 90.00 90.00
Space group Pm-3m (No. 221)
Asymmetric unit:
Ge1 0.000 0.000 0.500 x3
Mo1 0.000 0.000 0.000 x1
N1 0.500 0.500 0.500 x1

## Properties
The density of states at the Fermi level is 1.8 states/eV/f.u. The size of the total moment is 0.59 μB/atom.

***

Run B
The following is a PBE-GGA calculation of a geometry-optimized Ge3MoN structure, from Alexandria.

Lattice parameters (Å, degrees): 4.219 4.219 4.219 90.00 90.00 90.00
Space group Pm-3m (No. 221)
Asymmetric unit:
Ge1 0.000 0.000 0.500 x3
Mo1 0.500 0.500 0.500 x1
N1 0.000 0.000 0.000 x1

## Properties
The density of states at the Fermi level is 3.0 states/eV/f.u. The size of the total moment is 0.24 μB/atom.

***

Stability, lowest: run A

***

Run A
The following is a PBE-GGA calculation of a geometry-optimized GeMoSN2 structure, from Alexandria.

Lattice parameters (Å, degrees): 3.913 3.913 5.034 90.00 90.00 90.00
Space group P4/mmm (No. 123)
Asymmetric unit:
Ge1 0.000 0.000 0.000 x1
Mo1 0.500 0.500 0.500 x1
S1 0.500 0.500 0.000 x1
N1 0.000 0.500 0.500 x2

## Properties
The density of states at the Fermi level is 0.9 states/eV/f.u. The size of the total moment is 0.00 μB/atom.

***

Run B
The following is a PBE-GGA calculation of a geometry-optimized GeMoSN2 structure, from Alexandria.

Lattice parameters (Å, degrees): 3.765 3.765 4.778 90.00 90.00 90.00
Space group P4/mmm (No. 123)
Asymmetric unit:
Ge1 0.000 0.000 0.000 x1
Mo1 0.500 0.500 0.500 x1
S1 0.000 0.000 0.500 x1
N1 0.000 0.500 0.000 x2

## Properties
The density of states at the Fermi level is 2.7 states/eV/f.u. The size of the total moment is 0.45 μB/atom.

***

Stability, lowest: run B

***

Run A
The following is a PBE-GGA calculation of a geometry-optimized GeMoSeN2 structure, from Alexandria.

Lattice parameters (Å, degrees): 3.936 3.936 5.299 90.00 90.00 90.00
Space group P4/mmm (No. 123)
Asymmetric unit:
Ge1 0.000 0.000 0.000 x1
Mo1 0.500 0.500 0.500 x1
Se1 0.500 0.500 0.000 x1
N1 0.000 0.500 0.500 x2

## Properties
The density of states at the Fermi level is 1.0 states/eV/f.u. The size of the total moment is 0.00 μB/atom.

***

Run B
The following is a PBE-GGA calculation of a geometry-optimized GeMoSeN2 structure, from Alexandria.

Lattice parameters (Å, degrees): 3.801 3.801 5.164 90.00 90.00 90.00
Space group P4/mmm (No. 123)
Asymmetric unit:
Ge1 0.000 0.000 0.000 x1
Mo1 0.500 0.500 0.500 x1
Se1 0.000 0.000 0.500 x1
N1 0.000 0.500 0.000 x2

## Properties
The density of states at the Fermi level is 3.4 states/eV/f.u. The size of the total moment is 0.46 μB/atom.

***

Stability, lowest: run B

***

Run A
The following is a PBE-GGA calculation of a geometry-optimized GeMoSe2N structure, from Alexandria.

Lattice parameters (Å, degrees): 5.134 5.134 3.521 90.00 90.00 90.00
Space group P4/mmm (No. 123)
Asymmetric unit:
Ge1 0.000 0.000 0.000 x1
Mo1 0.500 0.500 0.500 x1
Se1 0.000 0.500 0.000 x2
N1 0.000 0.000 0.500 x1

## Properties
The density of states at the Fermi level is 2.7 states/eV/f.u. The size of the total moment is 0.65 μB/atom.

***

Run B
The following is a PBE-GGA calculation of a geometry-optimized GeMoSe2N structure, from Alexandria.

Lattice parameters (Å, degrees): 5.110 5.110 3.795 90.00 90.00 90.00
Space group P4/mmm (No. 123)
Asymmetric unit:
Ge1 0.000 0.000 0.000 x1
Mo1 0.500 0.500 0.500 x1
Se1 0.000 0.500 0.500 x2
N1 0.500 0.500 0.000 x1

## Properties
The density of states at the Fermi level is 2.3 states/eV/f.u. The size of the total moment is 0.00 μB/atom.

***

Stability, lowest: run A